Compound: NaSrWF6
Source: Alexandria
Functional: PBE with a Hubbard U
Structure: relaxed

Geometry as extended XYZ:
```
18
Lattice="-6.084 0.156 0.879 3.667 -2.423 4.301 0.768 8.050 3.881" Properties=species:S:1:pos:R:3 pbc="T T T"
W -2.642 1.309 2.990
W 0.993 4.475 6.071
F 0.020 6.174 5.244
F 0.338 4.782 8.070
F 1.590 4.183 4.052
F 2.015 2.787 6.863
F -3.239 1.601 5.009
F -4.547 0.396 2.755
F -0.744 2.250 3.170
F -0.905 3.534 5.891
F 2.898 5.388 6.306
F -1.987 1.002 0.991
F -1.669 -0.390 3.817
F -3.664 2.997 2.198
Sr 0.609 0.450 4.130
Sr -2.258 5.334 4.930
Na 0.384 4.025 1.940
Na 0.000 0.000 0.000
```

Output
Its calculated total energy is -5.43 eV per atom. Its symmetry is P-31c (163).